The following is a PBE calculation of crystalline Ho8Se4S3N at its relaxed geometry, from the Alexandria database.

abc: 7.788 7.924 7.788
angles: 119.43 120.00 90.00
Positions (direct):
Ho  0.258  0.275  0.516
Ho  0.224  0.712  0.448
Ho  0.776  0.288  0.552
Ho  0.236  0.289  0.012
Ho  0.742  0.725  0.484
Ho  0.224  0.711  0.988
Ho  0.776  0.289  0.012
Ho  0.764  0.711  0.988
S  0.000  0.500  0.500
S  0.500  0.500  0.000
S  0.500  0.500  0.500
Se  0.500  0.000  0.500
Se  0.000  0.000  0.500
Se  0.500  0.000  0.000
Se  0.000  0.000  0.000
N  0.000  0.500  0.000

Results
Density = 8.5 g/cm³

***

The following is a PBE calculation of crystalline Ho6Se3S2N at its relaxed geometry, from the Alexandria database.

abc: 6.699 6.699 6.891
angles: 99.34 99.34 119.92
Positions (direct):
Ho  0.930  0.622  0.790
Ho  0.764  0.764  0.214
Ho  0.236  0.236  0.786
Ho  0.622  0.930  0.790
Ho  0.378  0.070  0.210
Ho  0.070  0.378  0.210
Se  0.500  0.500  0.500
Se  0.828  0.172  0.500
Se  0.172  0.828  0.500
S  0.666  0.334  0.000
S  0.334  0.666  0.000
N  0.000  0.000  0.000

Results
Density = 8.5 g/cm³

***

The following is a PBE calculation of crystalline SmHoSN at its relaxed geometry, from the Alexandria database.

abc: 3.656 3.656 6.706
angles: 74.18 74.18 60.00
Positions (direct):
N  0.005  0.005  0.986
S  0.496  0.496  0.511
Sm  0.263  0.263  0.211
Ho  0.736  0.736  0.792

Results
Density = 8.1 g/cm³

***

The following is a PBE calculation of crystalline TbHoSN at its relaxed geometry, from the Alexandria database.

abc: 3.620 3.620 6.612
angles: 74.11 74.11 60.00
Positions (direct):
S  0.749  0.749  0.754
Ho  0.986  0.986  0.042
N  0.252  0.252  0.245
Tb  0.513  0.513  0.460

Results
Density = 8.6 g/cm³

***

The following is a PBE calculation of crystalline HoThS2N at its relaxed geometry, from the Alexandria database.

abc: 3.953 3.953 13.928
angles: 90.00 90.00 90.00
Positions (direct):
Th  0.000  0.500  0.411
Th  0.500  0.000  0.589
N  0.500  0.500  0.500
N  0.000  0.000  0.500
S  0.000  0.500  0.091
S  0.000  0.500  0.702
S  0.500  0.000  0.298
S  0.500  0.000  0.909
Ho  0.500  0.000  0.117
Ho  0.000  0.500  0.883

Results
Density = 7.2 g/cm³

***

The following is a PBE calculation of crystalline Ho8Tl3S3N at its relaxed geometry, from the Alexandria database.

abc: 7.571 7.576 8.854
angles: 115.36 90.00 120.03
Positions (direct):
Tl  0.000  0.000  0.000
Tl  0.500  0.500  0.000
Tl  0.000  0.500  0.000
S  0.500  0.000  0.500
S  0.500  0.500  0.500
S  0.000  0.500  0.500
Ho  0.787  0.575  0.314
Ho  0.266  0.533  0.299
Ho  0.239  0.027  0.314
Ho  0.213  0.973  0.686
Ho  0.734  0.467  0.701
Ho  0.761  0.973  0.686
Ho  0.213  0.425  0.686
Ho  0.787  0.027  0.314
N  0.000  0.000  0.500

Results
Density = 8.9 g/cm³

***

| no. | E (eV/atom) |
| --- | --- |
| 1 | -6.267 |
| 2 | -6.343 |
| 3 | -7.261 |
| 4 | -7.276 |
| 5 | -7.672 |
| 6 | -5.386 |